# In2SnBr, relaxed, DFT PBE
data_In2SnBr
_cell_length_a 4.4931
_cell_length_b 4.4931
_cell_length_c 21.6380
_cell_angle_alpha 90.00
_cell_angle_beta 90.00
_cell_angle_gamma 120.00
_space_group_name_H-M_alt 'R -3 m'
_space_group_IT_number 166
_space_group_name_Hall '-R 3 2"'
loop_
_atom_site_label
_atom_site_fract_x
_atom_site_fract_y
_atom_site_fract_z
In1 0.0000 0.0000 0.2368
Sn1 0.0000 0.0000 0.5000
Br1 0.0000 0.0000 0.0000
# DOS(E_F) in states/eV per cell: 4.77
# Energy above the lowest structure with this stoichiometry in meV/atom: 57.8
# Size of the total moment in μB/f.u.: 0.0
# Crystal system: trigonal
# Energy relative to the elements, uncorrected in eV per atom: -0.129
# Total DFT energy (no corrections) in eV/atom: -2.92

=====

# CaTaTc, relaxed, DFT PBE
data_CaTaTc
_cell_length_a 6.424
_cell_length_b 6.424
_cell_length_c 6.424
_cell_angle_alpha 90.00
_cell_angle_beta 90.00
_cell_angle_gamma 90.00
_space_group_name_H-M_alt 'F -4 3 m'
_space_group_IT_number 216
_space_group_name_Hall 'F -4 2 3'
loop_
_atom_site_label
_atom_site_fract_x
_atom_site_fract_y
_atom_site_fract_z
Ca1 0.000 0.000 0.000
Ta1 0.000 0.000 0.500
Tc1 0.250 0.250 0.750
# DOS(E_F) in states/eV per cell: 6.38
# Energy above the lowest structure with this stoichiometry in meV/atom: 539.1
# Size of the total moment in μB/f.u.: 0.0
# Crystal system: cubic
# Formation enthalpy at 0 K in meV per atom: 727
# Total DFT energy (no corrections) in eV/atom: -7.35

=====

# Hf4CdS8, relaxed, DFT PBE
data_Hf4CdS8
_cell_length_a 7.2142
_cell_length_b 7.2142
_cell_length_c 21.8247
_cell_angle_alpha 90.00
_cell_angle_beta 90.00
_cell_angle_gamma 120.00
_space_group_name_H-M_alt 'R -3 m'
_space_group_IT_number 166
_space_group_name_Hall '-R 3 2"'
loop_
_atom_site_label
_atom_site_fract_x
_atom_site_fract_y
_atom_site_fract_z
Hf1 0.0000 0.0000 0.0000
Hf2 0.0000 0.5000 0.0000
Cd1 0.0000 0.0000 0.5000
S1 0.0000 0.0000 0.2662
S2 0.0025 0.5012 0.2649
# DOS(E_F) in states/eV per cell: 14.35
# Energy above the lowest structure with this stoichiometry in meV/atom: 0.0
# Size of the total moment in μB/f.u.: 0.0
# Crystal system: trigonal
# Energy relative to the elements, uncorrected in eV per atom: -1.415
# Total DFT energy (no corrections) in eV/atom: -7.09

=====

# Pm7Dy3Y, relaxed, DFT PBE
data_Pm7Dy3Y
_cell_length_a 12.820
_cell_length_b 11.304
_cell_length_c 5.893
_cell_angle_alpha 90.00
_cell_angle_beta 117.32
_cell_angle_gamma 90.00
_space_group_name_H-M_alt 'C 1 2/m 1'
_space_group_IT_number 12
_space_group_name_Hall '-C 2y'
loop_
_atom_site_label
_atom_site_fract_x
_atom_site_fract_y
_atom_site_fract_z
Pm1 0.000 0.000 0.000
Pm2 0.195 0.293 0.695
Pm3 0.209 0.500 0.207
Dy1 0.000 0.295 0.000
Dy2 0.000 0.500 0.500
Y1 0.000 0.000 0.500
# DOS(E_F) in states/eV per cell: 31.27
# Energy above the lowest structure with this stoichiometry in meV/atom: 115.8
# Size of the total moment in μB/f.u.: 0.1
# Crystal system: monoclinic
# Formation enthalpy at 0 K in meV per atom: 234
# Total DFT energy (no corrections) in eV/atom: -4.63

=====

# LaPrY2Se4, relaxed, DFT PBE
data_LaPrY2Se4
_cell_length_a 7.180
_cell_length_b 4.121
_cell_length_c 7.408
_cell_angle_alpha 90.00
_cell_angle_beta 108.69
_cell_angle_gamma 90.00
_space_group_name_H-M_alt 'P 1 2/m 1'
_space_group_IT_number 10
_space_group_name_Hall '-P 2y'
loop_
_atom_site_label
_atom_site_fract_x
_atom_site_fract_y
_atom_site_fract_z
La1 0.000 0.000 0.000
Pr1 0.500 0.500 0.000
Y1 0.000 0.500 0.500
Y2 0.500 0.000 0.500
Se1 0.245 0.000 0.733
Se2 0.257 0.500 0.268
# DOS(E_F) in states/eV per cell: 4.57
# Size of the total moment in μB/f.u.: 0.0
# Crystal system: monoclinic
# Energy relative to the elements, uncorrected in eV per atom: -1.851
# Total DFT energy (no corrections) in eV/atom: -6.42

=====

# CrAu3, relaxed, DFT PBE
data_CrAu3
_cell_length_a 6.558
_cell_length_b 6.558
_cell_length_c 6.558
_cell_angle_alpha 90.00
_cell_angle_beta 90.00
_cell_angle_gamma 90.00
_space_group_name_H-M_alt 'F m -3 m'
_space_group_IT_number 225
_space_group_name_Hall '-F 4 2 3'
loop_
_atom_site_label
_atom_site_fract_x
_atom_site_fract_y
_atom_site_fract_z
Cr1 0.000 0.000 0.000
Au1 0.000 0.000 0.500
Au2 0.250 0.250 0.250
# DOS(E_F) in states/eV per cell: 6.59
# Size of the total moment in μB/f.u.: 4.2
# Crystal system: cubic
# Formation enthalpy at 0 K in meV per atom: 81
# Total DFT energy (no corrections) in eV/atom: -4.78

=====

What did the second record say?
# CaTaTc, relaxed, DFT PBE
data_CaTaTc
_cell_length_a 6.424
_cell_length_b 6.424
_cell_length_c 6.424
_cell_angle_alpha 90.00
_cell_angle_beta 90.00
_cell_angle_gamma 90.00
_space_group_name_H-M_alt 'F -4 3 m'
_space_group_IT_number 216
_space_group_name_Hall 'F -4 2 3'
loop_
_atom_site_label
_atom_site_fract_x
_atom_site_fract_y
_atom_site_fract_z
Ca1 0.000 0.000 0.000
Ta1 0.000 0.000 0.500
Tc1 0.250 0.250 0.750
# DOS(E_F) in states/eV per cell: 6.38
# Energy above the lowest structure with this stoichiometry in meV/atom: 539.1
# Size of the total moment in μB/f.u.: 0.0
# Crystal system: cubic
# Formation enthalpy at 0 K in meV per atom: 727
# Total DFT energy (no corrections) in eV/atom: -7.35

=====

Copy entry 2 word for word.
# CaTaTc, relaxed, DFT PBE
data_CaTaTc
_cell_length_a 6.424
_cell_length_b 6.424
_cell_length_c 6.424
_cell_angle_alpha 90.00
_cell_angle_beta 90.00
_cell_angle_gamma 90.00
_space_group_name_H-M_alt 'F -4 3 m'
_space_group_IT_number 216
_space_group_name_Hall 'F -4 2 3'
loop_
_atom_site_label
_atom_site_fract_x
_atom_site_fract_y
_atom_site_fract_z
Ca1 0.000 0.000 0.000
Ta1 0.000 0.000 0.500
Tc1 0.250 0.250 0.750
# DOS(E_F) in states/eV per cell: 6.38
# Energy above the lowest structure with this stoichiometry in meV/atom: 539.1
# Size of the total moment in μB/f.u.: 0.0
# Crystal system: cubic
# Formation enthalpy at 0 K in meV per atom: 727
# Total DFT energy (no corrections) in eV/atom: -7.35